# PBE PaMn9Nb2, optimized geometry
data_PaMn9Nb2
_symmetry_space_group_name_H-M 'R -3 m'
_symmetry_Int_Tables_number 166
_symmetry_space_group_name_Hall '-R 3 2"'
_cell_length_a 4.7783
_cell_length_b 4.7783
_cell_length_c 24.3567
_cell_angle_alpha 90.00
_cell_angle_beta 90.00
_cell_angle_gamma 120.00
loop_
_atom_site_label
_atom_site_type_symbol
_atom_site_fract_x
_atom_site_fract_y
_atom_site_fract_z
Pa1 Pa 0.0000 0.0000 0.0000
Mn1 Mn 0.0000 0.0000 0.3374
Mn2 Mn 0.0000 0.0000 0.5000
Mn3 Mn 0.0096 0.5048 0.9139
Nb1 Nb 0.0000 0.0000 0.1417
# Magnetization (μB per formula unit): 1.583
# Crystal system: trigonal
# Calculated formation energy (eV/atom): -0.062
# DOS at the Fermi energy (states/eV/f.u.): 20.03
# DFT total energy (eV/atom): -9.408